[1]
{
  "formula": "Ba2CaMgSb2",
  "functional": "GGA-PBE",
  "state": "optimized geometry",
  "e_form_raw_ev_per_atom": -0.75,
  "lattice_angstrom": [[-3.5020, 8.7227, 3.5106], [3.5020, -8.7227, 3.5106], [3.5020, 8.7227, -3.5106]],
  "species": ["Ba", "Ba", "Ba", "Ba", "Ca", "Ca", "Mg", "Mg", "Sb", "Sb", "Sb", "Sb"],
  "frac_coords": [[0.1783, 0.2418, 0.4201], [0.3217, 0.7418, 0.0635], [0.6783, 0.2582, 0.9365], [0.8217, 0.7582, 0.5799], [0.2500, 0.7500, 0.5000], [0.7500, 0.2500, 0.5000], [0.2500, 0.2500, 0.0000], [0.7500, 0.7500, 0.0000], [0.1076, 0.7630, 0.8706], [0.3924, 0.2630, 0.6555], [0.6076, 0.7370, 0.3445], [0.8924, 0.2370, 0.1294]]
}



[2]
{
  "formula": "CaTa2P",
  "functional": "GGA-PBE",
  "state": "optimized geometry",
  "lattice_angstrom": [[4.1816, 0.0000, 0.0000], [0.0000, 1.7487, 5.8421], [0.0000, -1.7487, 5.8421]],
  "species": ["Ca", "Ta", "Ta", "P"],
  "frac_coords": [[0.0000, 0.0000, 0.0000], [0.0000, 0.7347, 0.7347], [0.5000, 0.2675, 0.2675], [0.5000, 0.6032, 0.6032]]
}



[3]
{
  "formula": "MgTiBeNi",
  "functional": "GGA-PBE",
  "state": "optimized geometry",
  "lattice_angstrom": [[0.0000, 2.9927, 2.9927], [2.9927, 0.0000, 2.9927], [2.9927, 2.9927, 0.0000]],
  "species": ["Mg", "Ti", "Be", "Ni"],
  "frac_coords": [[0.0000, 0.0000, 0.0000], [0.5000, 0.5000, 0.5000], [0.7500, 0.7500, 0.7500], [0.2500, 0.2500, 0.2500]]
}



[4]
{
  "formula": "CuAgF3",
  "functional": "GGA-PBE",
  "state": "optimized geometry",
  "e_form_raw_ev_per_atom": -1.28,
  "lattice_angstrom": [[4.4276, -5.4107, 0.0000], [4.4276, 5.4107, 0.0000], [-0.2668, 0.0000, 5.8625]],
  "species": ["Cu", "Cu", "Cu", "Cu", "Ag", "Ag", "Ag", "Ag", "F", "F", "F", "F", "F", "F", "F", "F", "F", "F", "F", "F"],
  "frac_coords": [[0.1321, 0.8679, 0.7500], [0.2528, 0.7472, 0.2500], [0.7472, 0.2528, 0.7500], [0.8679, 0.1321, 0.2500], [0.2563, 0.3680, 0.7996], [0.3680, 0.2563, 0.2996], [0.6320, 0.7437, 0.7004], [0.7437, 0.6320, 0.2004], [0.0410, 0.7927, 0.4372], [0.0589, 0.3345, 0.1381], [0.2073, 0.9590, 0.0628], [0.3345, 0.0589, 0.6381], [0.3351, 0.5927, 0.4803], [0.4073, 0.6649, 0.0197], [0.5927, 0.3351, 0.9803], [0.6649, 0.4073, 0.5197], [0.6655, 0.9411, 0.3619], [0.7927, 0.0410, 0.9372], [0.9411, 0.6655, 0.8619], [0.9590, 0.2073, 0.5628]]
}



[5]
{
  "formula": "La2AuO",
  "functional": "GGA-PBE",
  "state": "optimized geometry",
  "e_form_raw_ev_per_atom": -1.68,
  "lattice_angstrom": [[-3.4941, 3.4941, 4.3127], [3.4941, -3.4941, 4.3127], [3.4941, 3.4941, -4.3127]],
  "species": ["La", "La", "La", "La", "Au", "Au", "O", "O"],
  "frac_coords": [[0.0485, 0.6250, 0.9235], [0.3750, 0.2985, 0.4235], [0.7015, 0.1250, 0.0765], [0.8750, 0.9515, 0.5765], [0.2500, 0.7500, 0.5000], [0.5000, 0.5000, 0.0000], [0.0000, 0.0000, 0.0000], [0.7500, 0.2500, 0.5000]]
}



[6]
{
  "formula": "NaHg2AsP",
  "functional": "GGA-PBE",
  "state": "optimized geometry",
  "lattice_angstrom": [[5.2242, 0.0000, 0.0000], [0.0000, 5.2242, 0.0000], [0.0000, 0.0000, 4.9435]],
  "species": ["Na", "Hg", "Hg", "As", "P"],
  "frac_coords": [[0.0000, 0.0000, 0.0000], [0.0000, 0.5000, 0.5000], [0.5000, 0.0000, 0.5000], [0.5000, 0.5000, 0.0000], [0.5000, 0.5000, 0.5000]]
}



Number 1: final energy -3.36 eV per atom, spin magnetization 1.913 μB per formula unit. Number 2: final energy -7.93 eV per atom, spin magnetization 0.000 μB per formula unit. Number 3: final energy -4.88 eV per atom, spin magnetization 0.000 μB per formula unit. Number 4: final energy -3.79 eV per atom, spin magnetization 1.000 μB per formula unit. Number 5: final energy -6.20 eV per atom, spin magnetization 0.000 μB per formula unit. Number 6: final energy -2.17 eV per atom, spin magnetization 0.000 μB per formula unit.